1.
## KFeOs2 (PBE-GGA)

Data for KFeOs2 after structural relaxation.

Calculated values
* formation energy: 1.02 eV per atom
* space group: No. 71
* distance to the lowest polymorph of the same formula: 265 meV/atom
* calculated volume: 131.5 Å³ per cell
* N(E_F): 4.097 states/eV/f.u.

```
KFeOs2
1.0
2.661 0.000 0.000
0.000 4.742 0.000
0.000 0.000 10.421
K Fe Os
2 2 4
Direct
0.000 0.000 0.000
0.500 0.500 0.500
0.000 0.000 0.500
0.500 0.500 0.000
0.000 0.500 0.214
0.000 0.500 0.786
0.500 0.000 0.286
0.500 0.000 0.714
```

---

2.
## KHgRh (PBE-GGA)

Data for KHgRh after structural relaxation.

Calculated values
* formation energy: 1.06 eV per atom
* space group: No. 216
* distance to the lowest polymorph of the same formula: 868 meV/atom
* calculated volume: 344.1 Å³ per cell
* N(E_F): 3.712 states/eV/f.u.

```
KHgRh
1.0
7.008 0.000 0.000
0.000 7.008 0.000
0.000 0.000 7.008
K Hg Rh
4 4 4
Direct
0.000 0.000 0.000
0.000 0.500 0.500
0.500 0.000 0.500
0.500 0.500 0.000
0.250 0.250 0.750
0.250 0.750 0.250
0.750 0.250 0.250
0.750 0.750 0.750
0.250 0.250 0.250
0.250 0.750 0.750
0.750 0.250 0.750
0.750 0.750 0.250
```

---

3.
## Li2BRhBr (PBE-GGA)

Data for Li2BRhBr after structural relaxation.

Calculated values
* space group: No. 123
* calculated volume: 82.4 Å³ per cell
* N(E_F): 2.435 states/eV/f.u.
* E_tot: -4.01 eV per atom

```
Li2BRhBr
1.0
4.606 0.000 0.000
0.000 4.606 0.000
0.000 0.000 3.882
Li B Rh Br
2 1 1 1
Direct
0.000 0.500 0.000
0.500 0.000 0.000
0.000 0.000 0.000
0.000 0.000 0.500
0.500 0.500 0.500
```

---

4.
## Pr2Sm6Y3Tl (PBE-GGA)

Data for Pr2Sm6Y3Tl after structural relaxation.

Calculated values
* formation energy: -0.03 eV per atom
* space group: No. 12
* calculated volume: 392.1 Å³ per cell
* N(E_F): 14.921 states/eV/f.u.

```
Pr2Sm6Y3Tl
1.0
3.103 -5.383 0.000
3.103 5.383 0.000
-2.080 0.000 11.738
Pr Sm Y Tl
2 6 3 1
Direct
0.166 0.834 0.000
0.834 0.166 0.000
0.090 0.417 0.749
0.257 0.257 0.252
0.417 0.090 0.749
0.583 0.910 0.251
0.743 0.743 0.748
0.910 0.583 0.251
0.000 0.000 0.500
0.333 0.667 0.500
0.667 0.333 0.500
0.500 0.500 0.000
```